Cd5Pb: relaxed, PBEsol.

It has space group P4/mmm (No. 123), with a = 3.209 Å, b = 3.209 Å, c = 13.020 Å, α = 90.00°, β = 90.00° and γ = 90.00°. The distinct sites, in fractional coordinates, are Cd at (0.000, 0.000, 0.000), Cd at (0.000, 0.000, 0.313), Cd at (0.500, 0.500, 0.158) and Pb at (0.500, 0.500, 0.500).

The energy of formation is 0.0395 eV per atom. Its density is 9.53 g/cm³. The calculation puts the electronic total energy at -1.624 eV/atom.

=====

Cd3Pb: relaxed, PBEsol.

It has space group Fm-3m (No. 225), with a = 7.247 Å, b = 7.247 Å, c = 7.247 Å, α = 90.00°, β = 90.00° and γ = 90.00°. The distinct sites, in fractional coordinates, are Cd at (0.000, 0.000, 0.000), Cd at (0.250, 0.250, 0.250) and Pb at (0.000, 0.000, 0.500).

The energy of formation is 0.1186 eV per atom. Its density is 9.50 g/cm³. The calculation puts the electronic total energy at -1.779 eV/atom.

=====

Pm2CdPb: relaxed, PBEsol.

It has space group Fm-3m (No. 225), with a = 7.582 Å, b = 7.582 Å, c = 7.582 Å, α = 90.00°, β = 90.00° and γ = 90.00°. The distinct sites, in fractional coordinates, are Pm at (0.250, 0.250, 0.250), Cd at (0.000, 0.000, 0.000) and Pb at (0.000, 0.000, 0.500).

The energy of formation is -0.4689 eV per atom. Its density is 9.29 g/cm³. The calculation puts the electronic total energy at -4.336 eV/atom.

=====

Cd2Pt2Pb: relaxed, PBEsol.

It has space group P4/mbm (No. 127), with a = 8.001 Å, b = 8.001 Å, c = 3.010 Å, α = 90.00°, β = 90.00° and γ = 90.00°. The distinct sites, in fractional coordinates, are Cd at (0.136, 0.364, 0.000), Pt at (0.160, 0.660, 0.500) and Pb at (0.000, 0.000, 0.500).

The energy of formation is -0.1805 eV per atom. Its density is 14.17 g/cm³. The calculation puts the electronic total energy at -4.244 eV/atom.

=====

CdPt4Pb: relaxed, PBEsol.

It has space group F-43m (No. 216), with a = 7.563 Å, b = 7.563 Å, c = 7.563 Å, α = 90.00°, β = 90.00° and γ = 90.00°. The distinct sites, in fractional coordinates, are Cd at (0.000, 0.000, 0.000), Pt at (0.125, 0.125, 0.625) and Pb at (0.250, 0.250, 0.250).

The energy of formation is -0.1213 eV per atom. Its density is 16.89 g/cm³. The calculation puts the electronic total energy at -5.630 eV/atom.

=====

Ta2CdPtPb: relaxed, PBEsol.

It has space group P4/mmm (No. 123), with a = 4.966 Å, b = 4.966 Å, c = 4.827 Å, α = 90.00°, β = 90.00° and γ = 90.00°. The distinct sites, in fractional coordinates, are Ta at (0.000, 0.500, 0.000), Cd at (0.000, 0.000, 0.000), Pt at (0.000, 0.000, 0.500) and Pb at (0.500, 0.500, 0.500).

The energy of formation is 1.7844 eV per atom. Its density is 12.23 g/cm³. The calculation puts the electronic total energy at -5.668 eV/atom.

=====

Rb2Cd2Pb: relaxed, PBEsol.

It has space group P4/mbm (No. 127), with a = 7.765 Å, b = 7.765 Å, c = 5.949 Å, α = 90.00°, β = 90.00° and γ = 90.00°. The distinct sites, in fractional coordinates, are Rb at (0.181, 0.319, 0.000), Cd at (0.131, 0.631, 0.500) and Pb at (0.000, 0.000, 0.500).

The energy of formation is -0.0132 eV per atom. Its density is 5.58 g/cm³. The calculation puts the electronic total energy at -1.702 eV/atom.

=====

RbCd2Pb2: relaxed, PBEsol.

It has space group I4/mmm (No. 139), with a = 4.959 Å, b = 4.959 Å, c = 12.677 Å, α = 90.00°, β = 90.00° and γ = 90.00°. The distinct sites, in fractional coordinates, are Rb at (0.000, 0.000, 0.000), Cd at (0.000, 0.500, 0.250) and Pb at (0.000, 0.000, 0.380).

The energy of formation is -0.0626 eV per atom. Its density is 7.72 g/cm³. The calculation puts the electronic total energy at -2.346 eV/atom.

=====

RbCd2Pb2: relaxed, PBEsol.

It has space group P4/mbm (No. 127), with a = 9.306 Å, b = 9.306 Å, c = 3.384 Å, α = 90.00°, β = 90.00° and γ = 90.00°. The distinct sites, in fractional coordinates, are Rb at (0.000, 0.000, 0.000), Cd at (0.155, 0.345, 0.500) and Pb at (0.137, 0.637, 0.000).

The energy of formation is -0.0044 eV per atom. Its density is 8.21 g/cm³. The calculation puts the electronic total energy at -2.288 eV/atom.

=====

CdRePb: relaxed, PBEsol.

It has space group F-43m (No. 216), with a = 6.458 Å, b = 6.458 Å, c = 6.458 Å, α = 90.00°, β = 90.00° and γ = 90.00°. The distinct sites, in fractional coordinates, are Cd at (0.000, 0.000, 0.000), Re at (0.000, 0.000, 0.500) and Pb at (0.250, 0.250, 0.250).

The energy of formation is 1.4589 eV per atom. Its density is 12.47 g/cm³. The calculation puts the electronic total energy at -4.717 eV/atom.

=====

CdRePb2: relaxed, PBEsol.

It has space group I4/mmm (No. 139), with a = 4.557 Å, b = 4.557 Å, c = 8.180 Å, α = 90.00°, β = 90.00° and γ = 90.00°. The distinct sites, in fractional coordinates, are Cd at (0.000, 0.000, 0.000), Re at (0.000, 0.000, 0.500) and Pb at (0.000, 0.500, 0.250).

The energy of formation is 0.9155 eV per atom. Its density is 13.94 g/cm³. The calculation puts the electronic total energy at -4.716 eV/atom.

=====

Cd2Rh2Pb: relaxed, PBEsol.

It has space group I4/mmm (No. 139), with a = 3.929 Å, b = 3.929 Å, c = 12.559 Å, α = 90.00°, β = 90.00° and γ = 90.00°. The distinct sites, in fractional coordinates, are Cd at (0.000, 0.500, 0.250), Rh at (0.000, 0.000, 0.100) and Pb at (0.000, 0.000, 0.500).

The energy of formation is 0.2109 eV per atom. Its density is 10.92 g/cm³. The calculation puts the electronic total energy at -4.323 eV/atom.

=====

Cd2RhPb: relaxed, PBEsol.

It has space group I4/mmm (No. 139), with a = 4.140 Å, b = 4.140 Å, c = 8.965 Å, α = 90.00°, β = 90.00° and γ = 90.00°. The distinct sites, in fractional coordinates, are Cd at (0.000, 0.500, 0.250), Rh at (0.000, 0.000, 0.000) and Pb at (0.000, 0.000, 0.500).

The energy of formation is 0.0566 eV per atom. Its density is 11.56 g/cm³. The calculation puts the electronic total energy at -3.576 eV/atom.

=====

CdRhPb2: relaxed, PBEsol.

It has space group P4mm (No. 99), with a = 3.245 Å, b = 3.245 Å, c = 8.466 Å, α = 90.00°, β = 90.00° and γ = 90.00°. The distinct sites, in fractional coordinates, are Cd at (0.000, 0.000, 0.000), Rh at (0.500, 0.500, 0.811), Pb at (0.000, 0.000, 0.613) and Pb at (0.500, 0.500, 0.277).

The energy of formation is 0.0266 eV per atom. Its density is 11.73 g/cm³. The calculation puts the electronic total energy at -4.307 eV/atom.

=====

Cd2Rh2Pb: relaxed, PBEsol.

It has space group P4/mbm (No. 127), with a = 6.829 Å, b = 6.829 Å, c = 3.992 Å, α = 90.00°, β = 90.00° and γ = 90.00°. The distinct sites, in fractional coordinates, are Cd at (0.154, 0.346, 0.000), Rh at (0.142, 0.642, 0.500) and Pb at (0.000, 0.000, 0.500).

The energy of formation is -0.0305 eV per atom. Its density is 11.38 g/cm³. The calculation puts the electronic total energy at -4.564 eV/atom.

=====

CdRhPb2: relaxed, PBEsol.

It has space group Immm (No. 71), with a = 3.165 Å, b = 4.558 Å, c = 13.046 Å, α = 90.00°, β = 90.00° and γ = 90.00°. The distinct sites, in fractional coordinates, are Cd at (0.000, 0.000, 0.000), Rh at (0.000, 0.000, 0.500) and Pb at (0.000, 0.500, 0.178).

The energy of formation is 0.0098 eV per atom. Its density is 11.11 g/cm³. The calculation puts the electronic total energy at -4.323 eV/atom.

=====

Cd2RhPb: relaxed, PBEsol.

It has space group Imm2 (No. 44), with a = 3.059 Å, b = 4.521 Å, c = 12.698 Å, α = 90.00°, β = 90.00° and γ = 90.00°. The distinct sites, in fractional coordinates, are Cd at (0.000, 0.000, 0.000), Cd at (0.000, 0.500, 0.167), Rh at (0.000, 0.000, 0.488) and Pb at (0.000, 0.500, 0.806).

The energy of formation is -0.0137 eV per atom. Its density is 10.12 g/cm³. The calculation puts the electronic total energy at -3.646 eV/atom.

=====

CdTcRh2Pb: relaxed, PBEsol.

It has space group P4/mmm (No. 123), with a = 4.874 Å, b = 4.874 Å, c = 5.112 Å, α = 90.00°, β = 90.00° and γ = 90.00°. The distinct sites, in fractional coordinates, are Cd at (0.000, 0.000, 0.000), Tc at (0.500, 0.500, 0.000), Rh at (0.000, 0.500, 0.500) and Pb at (0.000, 0.000, 0.500).

The energy of formation is 1.9618 eV per atom. Its density is 8.52 g/cm³. The calculation puts the electronic total energy at -4.586 eV/atom.

=====

CdRu2Pb: relaxed, PBEsol.

It has space group P4mm (No. 99), with a = 2.943 Å, b = 2.943 Å, c = 8.491 Å, α = 90.00°, β = 90.00° and γ = 90.00°. The distinct sites, in fractional coordinates, are Cd at (0.000, 0.000, 0.000), Ru at (0.000, 0.000, 0.595), Ru at (0.500, 0.500, 0.773) and Pb at (0.500, 0.500, 0.344).

The energy of formation is 0.3110 eV per atom. Its density is 11.78 g/cm³. The calculation puts the electronic total energy at -6.074 eV/atom.

=====

CdRu2Pb2: relaxed, PBEsol.

It has space group I4/mmm (No. 139), with a = 4.364 Å, b = 4.364 Å, c = 11.252 Å, α = 90.00°, β = 90.00° and γ = 90.00°. The distinct sites, in fractional coordinates, are Cd at (0.000, 0.000, 0.000), Ru at (0.000, 0.000, 0.395) and Pb at (0.000, 0.500, 0.250).

The energy of formation is 0.7130 eV per atom. Its density is 11.30 g/cm³. The calculation puts the electronic total energy at -5.195 eV/atom.